Arrangement w

Computed, not measured: LaSm2Rh after structural relaxation at the GGA-PBE level of DFT.

POSCAR file:
```
LaSm2Rh
1.0
3.7912 0.0000 0.0000
-1.8956 3.2833 0.0000
0.0000 0.0000 31.9703
La Sm Rh
3 6 3
direct
0.0000 0.0000 0.0000
0.3333 0.6667 0.6667
0.6667 0.3333 0.3333
0.0000 0.0000 0.1130
0.0000 0.0000 0.8870
0.3333 0.6667 0.5537
0.3333 0.6667 0.7796
0.6667 0.3333 0.2204
0.6667 0.3333 0.4463
0.0000 0.0000 0.5000
0.3333 0.6667 0.1667
0.6667 0.3333 0.8333
```

## Properties
M_tot, μB per formula unit: 0.6
DOS at the Fermi energy, states/eV per cell: 16.88

Arrangement x

Computed, not measured: LaSm2Rh after structural relaxation at the GGA-PBE level of DFT.

POSCAR file:
```
LaSm2Rh
1.0
3.8895 0.0000 0.0000
0.0000 9.9148 0.0000
-1.9418 0.0000 6.1098
La Sm Rh
2 4 2
direct
0.0808 0.2500 0.1628
0.9192 0.7500 0.8372
0.3584 0.0683 0.7162
0.3584 0.4317 0.7162
0.6416 0.5683 0.2838
0.6416 0.9317 0.2838
0.2420 0.7500 0.4841
0.7580 0.2500 0.5159
```

## Properties
M_tot, μB per formula unit: 0.0
DOS at the Fermi energy, states/eV per cell: 11.53

Which is most stable, and by how much? arrangement x, by 264 meV/atom.

Arrangement w

Computed, not measured: BeGaAs2Br after structural relaxation at the GGA-PBE level of DFT.

POSCAR file:
```
BeGaAs2Br
1.0
5.1475 0.0000 0.0000
0.0000 5.1475 0.0000
0.0000 0.0000 5.3612
Be Ga As Br
1 1 2 1
direct
0.0000 0.0000 0.0000
0.5000 0.5000 0.0000
0.0000 0.5000 0.5000
0.5000 0.0000 0.5000
0.5000 0.5000 0.5000
```

## Properties
M_tot, μB per formula unit: 0.0
DOS at the Fermi energy, states/eV per cell: 3.40

Arrangement x

Computed, not measured: BeGaAs2Br after structural relaxation at the GGA-PBE level of DFT.

POSCAR file:
```
BeGaAs2Br
1.0
4.2966 0.0000 0.0000
0.0000 4.2966 0.0000
0.0000 0.0000 7.4924
Be Ga As Br
1 1 2 1
direct
0.0000 0.0000 0.0000
0.5000 0.5000 0.5000
0.0000 0.5000 0.0000
0.5000 0.0000 0.0000
0.0000 0.0000 0.5000
```

## Properties
M_tot, μB per formula unit: 0.0
DOS at the Fermi energy, states/eV per cell: 0.83

Which is most stable, and by how much? arrangement x, by 1067 meV/atom.

Arrangement w

Computed, not measured: B2C after structural relaxation at the GGA-PBE level of DFT.

POSCAR file:
```
B2C
1.0
2.6484 0.0000 0.0000
-1.3242 2.2936 0.0000
0.0000 0.0000 15.6938
B C
8 4
direct
0.0000 0.0000 0.0539
0.0000 0.0000 0.3878
0.0000 0.0000 0.6122
0.0000 0.0000 0.9461
0.3333 0.6667 0.1243
0.3333 0.6667 0.2323
0.6667 0.3333 0.7677
0.6667 0.3333 0.8757
0.3333 0.6667 0.6244
0.3333 0.6667 0.7236
0.6667 0.3333 0.2764
0.6667 0.3333 0.3756
```

## Properties
M_tot, μB per formula unit: 0.0
DOS at the Fermi energy, states/eV per cell: 2.08

Arrangement x

Computed, not measured: B2C after structural relaxation at the GGA-PBE level of DFT.

POSCAR file:
```
B2C
1.0
6.5592 -1.3389 0.0000
6.5592 1.3389 0.0000
-0.3324 0.0000 5.5570
B C
8 4
direct
0.0000 0.0000 0.0000
0.0005 0.0005 0.6188
0.1528 0.1528 0.5635
0.3824 0.3824 0.2916
0.3851 0.3851 0.7976
0.6624 0.6624 0.8607
0.7836 0.7836 0.7776
0.7931 0.7931 0.3410
0.0985 0.0985 0.8322
0.4485 0.4485 0.0615
0.4500 0.4500 0.5457
0.7017 0.7017 0.4950
```

## Properties
M_tot, μB per formula unit: 0.0
DOS at the Fermi energy, states/eV per cell: 1.35

Which is most stable, and by how much? arrangement x, by 206 meV/atom.